DFT (PBE-GGA) results for crystalline AlIrRu2 at its relaxed geometry.

Computed properties:
Crystal system   orthorhombic
DFT formation energy   -0.97 eV per formula unit

Lattice parameters (Å, degrees): 2.7792 3.7342 5.4495 90.00 90.00 90.00
Closest atoms and distances in Å follow each position.
Space group Pmm2 (No. 25)
Inequivalent atoms, fractional coordinates:
Al1 0.0000 0.0000 0.0000 [1 per cell]  4 Ir 2.64, 6 Ru 2.67-2.78, 2 Al 2.78
Ir1 0.5000 0.5000 0.2294 [1 per cell]  4 Al 2.64, 6 Ru 2.70-2.78, 2 Ir 2.78
Ru1 0.0000 0.0000 0.5093 [1 per cell]  6 Ru 2.63-2.78, 2 Al 2.67-2.78, 4 Ir 2.78
Ru2 0.5000 0.5000 0.7333 [1 per cell]  6 Ru 2.63-2.78, 2 Ir 2.70-2.75, 4 Al 2.74